Compound: PrPbS2O8
Source: the Alexandria database
Functional: GGA-PBE
Structure: relaxed

Properties
**Calculated total energy**: -77.0 eV/f.u.
**E_form (uncorrected)**: -39.611 kcal/mol of atoms

a = 5.5197 Å, b = 5.5197 Å, c = 8.9935 Å
α = 96.25°, β = 96.25°, γ = 62.21°
With the nearest neighbours (Å) after each atom.
Atoms (fractional coordinates):
Pr1 0.0000 0.0000 0.0000  6 O 2.35-2.39
Pb1 0.0000 0.0000 0.5000  2 O 2.57
S1 0.6765 0.6765 0.2148  4 O 1.47-1.50
S2 0.3235 0.3235 0.7852  4 O 1.47-1.50
O1 0.6274 0.2024 0.8175  1 S 1.49
O2 0.7879 0.7879 0.1105  1 S 1.50
O3 0.7412 0.7412 0.3720  1 S 1.47
O4 0.2588 0.2588 0.6280  1 S 1.47
O5 0.2121 0.2121 0.8895  1 S 1.50
O6 0.2024 0.6274 0.8175  1 S 1.49
O7 0.7976 0.3726 0.1825  1 S 1.49
O8 0.3726 0.7976 0.1825  1 S 1.49


Compound: Pr3PbSO
Source: the Alexandria database
Functional: GGA-PBE
Structure: relaxed

Properties
**Calculated total energy**: -37.7 eV/f.u.
**E_form (uncorrected)**: -40.525 kcal/mol of atoms

a = 4.1364 Å, b = 9.0140 Å, c = 9.3950 Å
α = 103.55°, β = 90.00°, γ = 90.00°
With the nearest neighbours (Å) after each atom.
Atoms (fractional coordinates):
Pr1 0.7500 0.8880 0.1443  1 O 2.40
Pr2 0.2500 0.1120 0.8557  1 O 2.40
Pr3 0.2500 0.8289 0.4774  3 O 2.35
Pr4 0.7500 0.1711 0.5226  3 O 2.35
Pr5 0.7500 0.4336 0.1534  3 S 2.87-2.90
Pr6 0.2500 0.5664 0.8466  3 S 2.87-2.90
Pb1 0.2500 0.1860 0.2284  7 Pr 3.24-3.48
Pb2 0.7500 0.8140 0.7716  7 Pr 3.24-3.48
S1 0.2500 0.6615 0.1607  6 Pr 2.87-3.00
S2 0.7500 0.3385 0.8393  6 Pr 2.87-3.00
O1 0.2500 0.0888 0.5957  4 Pr 2.35-2.40
O2 0.7500 0.9112 0.4043  4 Pr 2.35-2.40


Compound: Pr4SbPbO
Source: the Alexandria database
Functional: GGA-PBE
Structure: relaxed

Properties
**Calculated total energy**: -41.0 eV/f.u.
**E_form (uncorrected)**: -29.953 kcal/mol of atoms

a = 6.6391 Å, b = 6.7111 Å, c = 9.6215 Å
α = 90.00°, β = 110.18°, γ = 90.00°
With the nearest neighbours (Å) after each atom.
Atoms (fractional coordinates):
Pr1 0.9222 0.2500 0.8444  1 O 2.38
Pr2 0.4312 0.7500 0.8623  3 Sb 3.27-3.45, 2 Pb 3.40
Pr3 0.0778 0.7500 0.1556  1 O 2.38
Pr4 0.5688 0.2500 0.1377  3 Sb 3.27-3.45, 2 Pb 3.40
Pr5 0.5000 0.5000 0.5000  2 O 2.47
Pr6 0.0000 0.0000 0.5000  2 O 2.47
Pr7 0.5000 0.0000 0.5000  2 O 2.47
Pr8 0.0000 0.5000 0.5000  2 O 2.47
Sb1 0.6122 0.7500 0.2245  9 Pr 3.27-3.45
Sb2 0.3878 0.2500 0.7755  9 Pr 3.27-3.45
Pb1 0.1087 0.2500 0.2173  9 Pr 3.37-3.48
Pb2 0.8913 0.7500 0.7827  9 Pr 3.37-3.48
O1 0.2095 0.7500 0.4190  5 Pr 2.38-2.47
O2 0.7905 0.2500 0.5810  5 Pr 2.38-2.47


Compound: Pr2SiPbO6
Source: the Alexandria database
Functional: GGA-PBE
Structure: relaxed

Properties
**Calculated total energy**: -73.5 eV/f.u.
**E_form (uncorrected)**: -57.709 kcal/mol of atoms

a = 5.2349 Å, b = 5.4723 Å, c = 5.4723 Å
α = 90.00°, β = 90.00°, γ = 90.00°
With the nearest neighbours (Å) after each atom.
Atoms (fractional coordinates):
Pr1 0.9923 0.5000 0.0000  4 O 2.38
Pr2 0.9923 0.0000 0.5000  4 O 2.38
Si1 0.6188 0.0000 0.0000  5 O 1.67-1.77
Pb1 0.5386 0.5000 0.5000  5 O 2.42-2.43
O1 0.7326 0.2160 0.2160  1 Si 1.77
O2 0.7326 0.2160 0.7840  1 Si 1.77
O3 0.0751 0.5000 0.5000  1 Pb 2.43
O4 0.2993 0.0000 0.0000  1 Si 1.67
O5 0.7326 0.7840 0.7840  1 Si 1.77
O6 0.7326 0.7840 0.2160  1 Si 1.77


Compound: PrSi2PbO6
Source: the Alexandria database
Functional: GGA-PBE
Structure: relaxed

Properties
**Calculated total energy**: -72.2 eV/f.u.
**E_form (uncorrected)**: -53.388 kcal/mol of atoms

a = 6.8501 Å, b = 6.8501 Å, c = 8.4429 Å
α = 105.05°, β = 105.05°, γ = 114.86°
With the nearest neighbours (Å) after each atom.
Atoms (fractional coordinates):
Pr1 0.5306 0.4694 0.2500  8 O 2.46-2.65
Pr2 0.4694 0.5306 0.7500  8 O 2.46-2.65
Si1 0.3620 0.0285 0.7595  3 O 1.61-1.62
Si2 0.9715 0.6380 0.7405  3 O 1.61-1.62
Si3 0.6380 0.9715 0.2405  3 O 1.61-1.62
Si4 0.0285 0.3620 0.2595  3 O 1.61-1.62
Pb1 0.0934 0.9066 0.2500  4 O 2.43-2.49
Pb2 0.9066 0.0934 0.7500  4 O 2.43-2.49
O1 0.9198 0.5309 0.2749  1 Si 1.61
O2 0.4691 0.0802 0.2251  1 Si 1.61
O3 0.0802 0.4691 0.7251  1 Si 1.61
O4 0.5309 0.9198 0.7749  1 Si 1.61
O5 0.0888 0.2972 0.0866  1 Si 1.62
O6 0.7028 0.9112 0.4134  1 Si 1.62
O7 0.9112 0.7028 0.9134  1 Si 1.62
O8 0.2972 0.0888 0.5866  1 Si 1.62
O9 0.2582 0.4229 0.4269  1 Si 1.62
O10 0.5771 0.7418 0.0731  1 Si 1.62
O11 0.7418 0.5771 0.5731  1 Si 1.62
O12 0.4229 0.2582 0.9269  1 Si 1.62


Compound: Pr4Sm2Pb3O2
Source: the Alexandria database
Functional: GGA-PBE
Structure: relaxed

Properties
**Calculated total energy**: -64.4 eV/f.u.
**E_form (uncorrected)**: -30.991 kcal/mol of atoms

a = 4.8756 Å, b = 4.8756 Å, c = 13.5598 Å
α = 100.36°, β = 100.36°, γ = 90.00°
With the nearest neighbours (Å) after each atom.
Atoms (fractional coordinates):
Pr1 0.4164 0.9164 0.8328  2 O 2.50
Pr2 0.9164 0.4164 0.8328  2 O 2.50
Pr3 0.0836 0.5836 0.1672  2 O 2.50
Pr4 0.5836 0.0836 0.1672  2 O 2.50
Sm1 0.3062 0.3062 0.6124  1 O 2.34
Sm2 0.6938 0.6938 0.3876  1 O 2.34
Pb1 0.0000 0.0000 0.0000  8 Pr 3.28
Pb2 0.1804 0.1804 0.3609  5 Sm 3.30-3.47, 4 Pr 3.52
Pb3 0.8196 0.8196 0.6391  5 Sm 3.30-3.47, 4 Pr 3.52
O1 0.3953 0.3953 0.7906  1 Sm 2.34, 4 Pr 2.50
O2 0.6047 0.6047 0.2094  1 Sm 2.34, 4 Pr 2.50


Compound: Pr2Sm4Pb3O2
Source: the Alexandria database
Functional: GGA-PBE
Structure: relaxed

Properties
**Calculated total energy**: -64.7 eV/f.u.
**E_form (uncorrected)**: -31.981 kcal/mol of atoms

a = 4.7971 Å, b = 4.7971 Å, c = 13.5528 Å
α = 100.19°, β = 100.19°, γ = 90.00°
With the nearest neighbours (Å) after each atom.
Atoms (fractional coordinates):
Pr1 0.3060 0.3060 0.6120  1 O 2.53
Pr2 0.6940 0.6940 0.3880  1 O 2.53
Sm1 0.4176 0.9176 0.8351  2 O 2.43
Sm2 0.9176 0.4176 0.8351  2 O 2.43
Sm3 0.0824 0.5824 0.1649  2 O 2.43
Sm4 0.5824 0.0824 0.1649  2 O 2.43
Pb1 0.0000 0.0000 0.0000  8 Sm 3.23
Pb2 0.1772 0.1772 0.3544  5 Pr 3.38-3.42, 4 Sm 3.45
Pb3 0.8228 0.8228 0.6456  5 Pr 3.38-3.42, 4 Sm 3.45
O1 0.4024 0.4024 0.8048  4 Sm 2.43, 1 Pr 2.53
O2 0.5976 0.5976 0.1952  4 Sm 2.43, 1 Pr 2.53


Compound: Pr2SnPbO6
Source: the Alexandria database
Functional: GGA-PBE
Structure: relaxed

Properties
**Calculated total energy**: -70.2 eV/f.u.
**E_form (uncorrected)**: -53.540 kcal/mol of atoms

a = 6.0061 Å, b = 6.0063 Å, c = 6.3342 Å
α = 61.70°, β = 61.70°, γ = 60.00°
With the nearest neighbours (Å) after each atom.
Atoms (fractional coordinates):
Pr1 0.5305 0.5305 0.4084  6 O 2.38-2.52
Pr2 0.0200 0.0200 0.9399  6 O 2.35-2.51
Sn1 0.3186 0.3186 0.0442  6 O 2.10-2.17
Pb1 0.7968 0.7968 0.6096  3 O 2.41
O1 0.5752 0.2328 0.2310  1 Sn 2.10
O2 0.2328 0.9610 0.2310  1 Sn 2.10
O3 0.9610 0.5752 0.2310  1 Sn 2.10
O4 0.4004 0.6830 0.7734  1 Sn 2.17, 1 Pr 2.35, 1 Pb 2.41
O5 0.6830 0.1432 0.7734  1 Sn 2.17, 1 Pr 2.35, 1 Pb 2.41
O6 0.1432 0.4004 0.7734  1 Sn 2.17, 1 Pr 2.35, 1 Pb 2.41


Compound: Sr2Pr4Pb3O2
Source: the Alexandria database
Functional: GGA-PBE
Structure: relaxed

Properties
**Calculated total energy**: -58.6 eV/f.u.
**E_form (uncorrected)**: -31.533 kcal/mol of atoms

a = 4.9938 Å, b = 4.9938 Å, c = 13.6987 Å
α = 100.50°, β = 100.50°, γ = 90.00°
With the nearest neighbours (Å) after each atom.
Atoms (fractional coordinates):
Sr1 0.3031 0.3031 0.6062  1 O 2.65
Sr2 0.6969 0.6969 0.3938  1 O 2.65
Pr1 0.4148 0.9148 0.8296  2 O 2.52
Pr2 0.9148 0.4148 0.8296  2 O 2.52
Pr3 0.0852 0.5852 0.1704  2 O 2.52
Pr4 0.5852 0.0852 0.1704  2 O 2.52
Pb1 0.0000 0.0000 0.0000  8 Pr 3.36
Pb2 0.1712 0.1712 0.3423  4 Pr 3.38, 5 Sr 3.49-3.60
Pb3 0.8288 0.8288 0.6577  4 Pr 3.38, 5 Sr 3.49-3.60
O1 0.4032 0.4032 0.8064  4 Pr 2.52, 1 Sr 2.65
O2 0.5968 0.5968 0.1936  4 Pr 2.52, 1 Sr 2.65


Compound: SrPr2PbO6
Source: the Alexandria database
Functional: GGA-PBE
Structure: relaxed

Properties
**Calculated total energy**: -69.4 eV/f.u.
**E_form (uncorrected)**: -57.027 kcal/mol of atoms

a = 6.0879 Å, b = 6.0879 Å, c = 6.3302 Å
α = 61.26°, β = 61.26°, γ = 60.00°
With the nearest neighbours (Å) after each atom.
Atoms (fractional coordinates):
Sr1 0.8022 0.8022 0.5933  6 O 2.44-2.62
Pr1 0.5286 0.5286 0.4143  6 O 2.40-2.49
Pr2 0.0263 0.0263 0.9212  6 O 2.34-2.55
Pb1 0.3146 0.3146 0.0562  6 O 2.22-2.28
O1 0.5951 0.2124 0.2464  1 Pb 2.22, 1 Pr 2.40
O2 0.2124 0.9460 0.2464  1 Pb 2.22, 1 Pr 2.40
O3 0.9460 0.5951 0.2464  1 Pb 2.22, 1 Pr 2.40
O4 0.4022 0.6920 0.7636  1 Pb 2.28, 2 Pr 2.34-2.49, 1 Sr 2.44
O5 0.6920 0.1421 0.7636  1 Pb 2.28, 2 Pr 2.34-2.49, 1 Sr 2.44
O6 0.1421 0.4022 0.7636  1 Pb 2.28, 2 Pr 2.34-2.49, 1 Sr 2.44


Compound: Tb2Pr4Pb3O2
Source: the Alexandria database
Functional: GGA-PBE
Structure: relaxed

Properties
**Calculated total energy**: -64.1 eV/f.u.
**E_form (uncorrected)**: -30.781 kcal/mol of atoms

a = 4.8671 Å, b = 4.8671 Å, c = 13.4318 Å
α = 100.44°, β = 100.44°, γ = 90.00°
With the nearest neighbours (Å) after each atom.
Atoms (fractional coordinates):
Tb1 0.3062 0.3062 0.6124  1 O 2.25
Tb2 0.6938 0.6938 0.3876  1 O 2.25
Pr1 0.4156 0.9156 0.8312  2 O 2.50
Pr2 0.9156 0.4156 0.8312  2 O 2.50
Pr3 0.0844 0.5844 0.1688  2 O 2.50
Pr4 0.5844 0.0844 0.1688  2 O 2.50
Pb1 0.0000 0.0000 0.0000  8 Pr 3.27
Pb2 0.1816 0.1816 0.3633  5 Tb 3.24-3.46, 4 Pr 3.51
Pb3 0.8184 0.8184 0.6367  5 Tb 3.24-3.46, 4 Pr 3.51
O1 0.3929 0.3929 0.7858  1 Tb 2.25, 4 Pr 2.50
O2 0.6071 0.6071 0.2142  1 Tb 2.25, 4 Pr 2.50


Compound: Tb4Pr2Pb3O2
Source: the Alexandria database
Functional: GGA-PBE
Structure: relaxed

Properties
**Calculated total energy**: -64.6 eV/f.u.
**E_form (uncorrected)**: -32.532 kcal/mol of atoms

a = 4.7196 Å, b = 4.7196 Å, c = 13.4220 Å
α = 100.13°, β = 100.13°, γ = 90.00°
With the nearest neighbours (Å) after each atom.
Atoms (fractional coordinates):
Tb1 0.4179 0.9179 0.8357  2 O 2.38
Tb2 0.9179 0.4179 0.8357  2 O 2.38
Tb3 0.0821 0.5821 0.1643  2 O 2.38
Tb4 0.5821 0.0821 0.1643  2 O 2.38
Pr1 0.3054 0.3054 0.6108  1 O 2.62
Pr2 0.6946 0.6946 0.3892  1 O 2.62
Pb1 0.0000 0.0000 0.0000  8 Tb 3.18
Pb2 0.1756 0.1756 0.3512  5 Pr 3.37-3.38, 4 Tb 3.39
Pb3 0.8244 0.8244 0.6488  5 Pr 3.37-3.38, 4 Tb 3.39
O1 0.4061 0.4061 0.8123  4 Tb 2.38, 1 Pr 2.62
O2 0.5939 0.5939 0.1877  4 Tb 2.38, 1 Pr 2.62


| no. | total magnetic moment (μB per cell) |
| --- | --- |
| 1 | 1.01 |
| 2 | 0.00 |
| 3 | 0.32 |
| 4 | 0.00 |
| 5 | 2.00 |
| 6 | 0.00 |
| 7 | 0.00 |
| 8 | 0.00 |
| 9 | 0.00 |
| 10 | 0.00 |
| 11 | 0.00 |
| 12 | 0.00 |